--- P ---
VASP calculation (PBE-GGA) on ScCu2Br after structural relaxation.

Properties
space group: C2/m (12)

Lattice parameters (Å, degrees): 5.7462 5.7462 4.3053 68.08 68.08 33.00
Closest atoms and distances in Å follow each position.
Sites, in units of the cell vectors:
Cu 0.4908 0.4908 0.5099  4 Cu 2.70-2.71, 2 Sc 2.94
Cu 0.0092 0.0092 0.9901  4 Cu 2.70-2.71, 2 Sc 2.94
Br 0.2500 0.2500 0.2500  4 Sc 2.70
Sc 0.7500 0.7500 0.7500  4 Br 2.70, 4 Cu 2.94

--- Q ---
VASP calculation (PBE-GGA) on ScCu2Br after structural relaxation.

Properties
space group: R-3m (166)

Lattice parameters (Å, degrees): 7.7928 7.7928 7.7928 25.90 25.90 25.90
Closest atoms and distances in Å follow each position.
Sites, in units of the cell vectors:
Br 0.7500 0.7500 0.7500  6 Cu 2.76
Sc 0.2500 0.2500 0.2500  6 Cu 2.76
Cu 0.5000 0.5000 0.5000  3 Sc 2.76, 3 Br 2.76
Cu 0.0000 0.0000 0.0000  3 Sc 2.76, 3 Br 2.76

--- R ---
VASP calculation (PBE-GGA) on ScCu2Br after structural relaxation.

Properties
space group: Pm (6)

Lattice parameters (Å, degrees): 3.2992 3.3080 7.2590 76.54 90.00 90.00
Closest atoms and distances in Å follow each position.
Sites, in units of the cell vectors:
Br 0.5000 0.9545 0.7074  4 Sc 2.88, 2 Cu 3.22
Cu 0.0000 0.7671 0.0995  4 Cu 2.50, 1 Sc 2.60
Sc 0.0000 0.5765 0.4680  5 Cu 2.60-2.90, 4 Br 2.88
Cu 0.5000 0.2019 0.2250  4 Cu 2.50

What are the relative energies? In meV per atom: P 213; Q 275; R 0.

--- P ---
VASP calculation (PBE-GGA) on ScCu2Br after structural relaxation.

Properties
space group: F-43m (216)

Lattice parameters (Å, degrees): 4.6368 4.6368 4.6368 60.00 60.00 60.00
Closest atoms and distances in Å follow each position.
Sites, in units of the cell vectors:
Br 0.5000 0.5000 0.5000  4 Sc 2.84, 4 Cu 2.84
Cu 0.2500 0.2500 0.2500  4 Br 2.84, 4 Cu 2.84
Cu 0.0000 0.0000 0.0000  4 Cu 2.84, 4 Sc 2.84
Sc 0.7500 0.7500 0.7500  4 Cu 2.84, 4 Br 2.84

--- Q ---
VASP calculation (PBE-GGA) on ScCu2Br after structural relaxation.

Properties
space group: P4mm (99)

Lattice parameters (Å, degrees): 3.2979 3.2979 7.4432 90.00 90.00 90.00
Closest atoms and distances in Å follow each position.
Sites, in units of the cell vectors:
Cu 0.0000 0.0000 0.1155  4 Cu 2.48, 1 Sc 2.60
Cu 0.5000 0.5000 0.2306  4 Cu 2.48
Sc 0.0000 0.0000 0.4644  1 Cu 2.60, 4 Br 2.87
Br 0.5000 0.5000 0.6895  4 Sc 2.87

--- R ---
VASP calculation (PBE-GGA) on ScCu2Br after structural relaxation.

Properties
space group: Pmmm (47)

Lattice parameters (Å, degrees): 3.6663 3.9088 4.9054 90.00 90.00 90.00
Closest atoms and distances in Å follow each position.
Sites, in units of the cell vectors:
Cu 0.5000 0.5000 0.0000  4 Cu 2.68
Br 0.0000 0.5000 0.5000  4 Sc 2.68
Sc 0.5000 0.0000 0.5000  4 Br 2.68
Cu 0.0000 0.0000 0.0000  4 Cu 2.68

What are the relative energies? In meV per atom: P 287; Q 0; R 251.

--- P ---
VASP calculation (PBE-GGA) on ScCu2Br after structural relaxation.

Properties
space group: Cm (8)

Lattice parameters (Å, degrees): 3.9581 3.9581 6.3983 89.74 89.74 59.84
Closest atoms and distances in Å follow each position.
Sites, in units of the cell vectors:
Br 0.1266 0.1266 0.2928  1 Cu 2.73, 3 Sc 2.86-2.87
Cu 0.1233 0.1233 0.8659  3 Cu 2.35
Sc 0.4591 0.4591 0.5633  3 Cu 2.66-2.67, 3 Br 2.86-2.87
Cu 0.7910 0.7910 0.7780  3 Cu 2.35

--- Q ---
VASP calculation (PBE-GGA) on ScCu2Br after structural relaxation.

Properties
space group: Fm-3m (225)

Lattice parameters (Å, degrees): 4.6935 4.6935 4.6935 60.00 60.00 60.00
Closest atoms and distances in Å follow each position.
Sites, in units of the cell vectors:
Cu 0.7500 0.7500 0.7500  4 Sc 2.87, 4 Br 2.87
Br 0.5000 0.5000 0.5000  8 Cu 2.87
Cu 0.2500 0.2500 0.2500  4 Br 2.87, 4 Sc 2.87
Sc 0.0000 0.0000 0.0000  8 Cu 2.87

--- R ---
VASP calculation (PBE-GGA) on ScCu2Br after structural relaxation.

Properties
space group: P4/mmm (123)

Lattice parameters (Å, degrees): 3.6140 3.6155 5.6151 90.00 90.00 90.00
Closest atoms and distances in Å follow each position.
Sites, in units of the cell vectors:
Br 0.5000 0.5000 0.7500  2 Sc 2.81, 8 Cu 3.01
Sc 0.5000 0.5000 0.2500  2 Br 2.81, 8 Cu 2.83
Cu 0.0000 0.0000 0.4659  1 Cu 2.42
Cu 0.0000 0.0000 0.0341  1 Cu 2.42

--- S ---
VASP calculation (PBE-GGA) on ScCu2Br after structural relaxation.

Properties
space group: I-42d (122)

Lattice parameters (Å, degrees): 7.5849 7.5849 5.9574 50.46 50.46 90.00
Closest atoms and distances in Å follow each position.
Sites, in units of the cell vectors:
Cu 0.6370 0.1250 0.2500  2 Cu 2.60, 2 Br 2.70, 2 Sc 2.82
Cu 0.1130 0.6250 0.2500  2 Cu 2.60, 2 Br 2.70, 2 Sc 2.82
Br 0.7500 0.2500 0.5000  2 Sc 2.59, 4 Cu 2.70
Cu 0.8750 0.8870 0.7500  2 Cu 2.60, 2 Br 2.70, 2 Sc 2.82
Sc 0.2500 0.7500 0.5000  2 Br 2.59, 4 Cu 2.82
Sc 0.5000 0.5000 0.0000  2 Br 2.59, 4 Cu 2.82
Br 0.0000 0.0000 0.0000  2 Sc 2.59, 4 Cu 2.70
Cu 0.3750 0.3630 0.7500  2 Cu 2.60, 2 Br 2.70, 2 Sc 2.82

What are the relative energies? In meV per atom: P 0; Q 592; R 295; S 263.

--- P ---
VASP calculation (PBE-GGA) on ScCu2Br after structural relaxation.

Properties
space group: Imm2 (44)

Lattice parameters (Å, degrees): 5.0558 5.0558 5.0558 136.94 123.35 73.71
Closest atoms and distances in Å follow each position.
Sites, in units of the cell vectors:
Cu 0.9771 0.9771 0.0000  2 Cu 2.50
Sc 0.5119 0.5119 0.0000  8 Cu 2.79-3.10, 4 Br 2.87-3.03
Cu 0.7700 0.2700 0.5000  2 Cu 2.50, 2 Sc 2.79
Br 0.2410 0.7410 0.5000  8 Cu 2.83-3.07, 4 Sc 2.87-3.03

--- Q ---
VASP calculation (PBE-GGA) on ScCu2Br after structural relaxation.

Properties
space group: Cmmm (65)

Lattice parameters (Å, degrees): 3.4960 4.9464 4.9483 63.12 90.00 90.00
Closest atoms and distances in Å follow each position.
Sites, in units of the cell vectors:
Br 0.5000 0.7500 0.7500  2 Sc 2.59, 4 Cu 2.71
Cu 0.0000 0.5042 0.5042  2 Cu 2.59, 2 Br 2.71, 2 Sc 2.77
Sc 0.5000 0.2500 0.2500  2 Br 2.59, 4 Cu 2.77
Cu 0.0000 0.9958 0.9958  2 Cu 2.59, 2 Br 2.71, 2 Sc 2.77

What are the relative energies? In meV per atom: P 95; Q 0.

--- P ---
VASP calculation (PBE-GGA) on CuSe4Br after structural relaxation.

Properties
space group: P-1 (2)

Lattice parameters (Å, degrees): 5.8653 3.9943 17.0193 88.53 87.71 70.60
Closest atoms and distances in Å follow each position.
Sites, in units of the cell vectors:
Se 0.0924 0.7548 0.0838  2 Se 2.37-2.39
Cu 0.7183 0.9073 0.3569  2 Se 2.36-2.38, 2 Br 2.46-2.47
Se 0.2879 0.1225 0.3673  1 Cu 2.38, 2 Se 2.53-2.57
Br 0.6718 0.4403 0.2739  2 Cu 2.46-2.47
Se 0.0718 0.7261 0.4308  1 Cu 2.36, 2 Se 2.53-2.57
Se 0.6995 0.8532 0.8835  2 Se 2.37-2.39
Se 0.3005 0.1468 0.1165  2 Se 2.37-2.39
Cu 0.2817 0.0927 0.6431  2 Se 2.36-2.38, 2 Br 2.46-2.47
Br 0.3282 0.5597 0.7261  2 Cu 2.46-2.47
Se 0.9076 0.2452 0.9162  2 Se 2.37-2.39
Se 0.7121 0.8775 0.6327  1 Cu 2.38, 2 Se 2.53-2.57
Se 0.9282 0.2739 0.5692  1 Cu 2.36, 2 Se 2.53-2.57

--- Q ---
VASP calculation (PBE-GGA) on CuSe4Br after structural relaxation.

Properties
space group: F-43m (216)

Lattice parameters (Å, degrees): 5.7228 5.7228 5.7228 60.00 60.00 60.00
Closest atoms and distances in Å follow each position.
Sites, in units of the cell vectors:
Se 0.3762 0.3762 0.8713  6 Se 2.83-2.89
Cu 0.0000 0.0000 0.0000  12 Se 3.36, 4 Br 3.50
Se 0.3762 0.8713 0.3762  6 Se 2.83-2.89
Br 0.7500 0.7500 0.7500  12 Se 3.35, 4 Cu 3.50
Se 0.3762 0.3762 0.3762  6 Se 2.83-2.89
Se 0.8713 0.3762 0.3762  6 Se 2.83-2.89

What are the relative energies? In meV per atom: P 0; Q 644.

--- P ---
VASP calculation (PBE-GGA) on CuSeBr4 after structural relaxation.

Properties
space group: C2/c (15)

Lattice parameters (Å, degrees): 6.6520 6.6486 10.3384 108.73 108.74 90.07
Closest atoms and distances in Å follow each position.
Sites, in units of the cell vectors:
Br 0.1522 0.4249 0.3438  1 Cu 2.44, 1 Se 2.58
Br 0.0796 0.8459 0.1527  1 Cu 2.44, 1 Se 2.59
Br 0.4269 0.6932 0.8473  1 Cu 2.44, 1 Se 2.59
Br 0.3085 0.0811 0.6562  1 Cu 2.44, 1 Se 2.58
Br 0.6915 0.9189 0.3438  1 Cu 2.44, 1 Se 2.58
Br 0.9204 0.1541 0.8473  1 Cu 2.44, 1 Se 2.59
Se 0.6259 0.3759 0.7517  4 Br 2.58-2.59
Cu 0.1263 0.8763 0.7525  4 Br 2.44
Br 0.8478 0.5751 0.6562  1 Cu 2.44, 1 Se 2.58
Br 0.5731 0.3068 0.1527  1 Cu 2.44, 1 Se 2.59
Cu 0.8737 0.1237 0.2475  4 Br 2.44
Se 0.3741 0.6241 0.2483  4 Br 2.58-2.59

--- Q ---
VASP calculation (PBE-GGA) on CuSeBr4 after structural relaxation.

Properties
space group: F-43m (216)

Lattice parameters (Å, degrees): 6.1982 6.1982 6.1982 60.00 60.00 60.00
Closest atoms and distances in Å follow each position.
Sites, in units of the cell vectors:
Se 0.0000 0.0000 0.0000  12 Br 3.64, 4 Cu 3.80
Br 0.3754 0.8737 0.3754  6 Br 3.09-3.11
Br 0.3754 0.3754 0.8737  6 Br 3.09-3.11
Br 0.8737 0.3754 0.3754  6 Br 3.09-3.11
Br 0.3754 0.3754 0.3754  6 Br 3.09-3.11
Cu 0.7500 0.7500 0.7500  12 Br 3.63, 4 Se 3.80

What are the relative energies? In meV per atom: P 0; Q 1075.

--- P ---
VASP calculation (PBE-GGA) on CuSiSe2Br after structural relaxation.

Properties
space group: P4/mmm (123)

Lattice parameters (Å, degrees): 4.8245 4.8245 4.8559 90.00 90.00 90.00
Closest atoms and distances in Å follow each position.
Sites, in units of the cell vectors:
Br 0.0000 0.0000 0.5000  2 Cu 2.43
Se 0.0000 0.5000 0.0000  2 Cu 2.41
Si 0.5000 0.5000 0.5000  4 Br 3.41, 8 Se 3.42
Cu 0.0000 0.0000 0.0000  4 Se 2.41, 2 Br 2.43
Se 0.5000 0.0000 0.0000  2 Cu 2.41

--- Q ---
VASP calculation (PBE-GGA) on CuSiSe2Br after structural relaxation.

Properties
space group: P4/mmm (123)

Lattice parameters (Å, degrees): 4.8174 4.8174 5.1605 90.00 90.00 90.00
Closest atoms and distances in Å follow each position.
Sites, in units of the cell vectors:
Se 0.5000 0.0000 0.0000  2 Si 2.41
Br 0.0000 0.0000 0.5000  2 Si 2.58
Se 0.0000 0.5000 0.0000  2 Si 2.41
Cu 0.5000 0.5000 0.5000  4 Br 3.41, 8 Se 3.53
Si 0.0000 0.0000 0.0000  4 Se 2.41, 2 Br 2.58

What are the relative energies? In meV per atom: P 32; Q 0.

--- P ---
VASP calculation (PBE-GGA) on TiCuSe2Br after structural relaxation.

Properties
space group: P4/mmm (123)

Lattice parameters (Å, degrees): 4.9147 4.9147 5.1732 90.00 90.00 90.00
Closest atoms and distances in Å follow each position.
Sites, in units of the cell vectors:
Cu 0.5000 0.5000 0.5000  4 Br 3.48, 8 Se 3.57
Br 0.0000 0.0000 0.5000  2 Ti 2.59
Se 0.0000 0.5000 0.0000  2 Ti 2.46
Se 0.5000 0.0000 0.0000  2 Ti 2.46
Ti 0.0000 0.0000 0.0000  4 Se 2.46, 2 Br 2.59

--- Q ---
VASP calculation (PBE-GGA) on TiCuSe2Br after structural relaxation.

Properties
space group: P4/mmm (123)

Lattice parameters (Å, degrees): 5.3772 4.5886 5.3772 90.00 90.00 90.00
Closest atoms and distances in Å follow each position.
Sites, in units of the cell vectors:
Se 0.5000 0.0000 0.0000  2 Br 2.69
Se 0.0000 0.0000 0.5000  2 Br 2.69
Ti 0.0000 0.5000 0.0000  2 Br 2.29
Cu 0.5000 0.5000 0.5000  8 Se 3.53, 4 Ti 3.80
Br 0.0000 0.0000 0.0000  2 Ti 2.29

What are the relative energies? In meV per atom: P 0; Q 1124.

--- P ---
VASP calculation (PBE-GGA) on TlCuSeBr2 after structural relaxation.

Properties
space group: P4/mmm (123)

Lattice parameters (Å, degrees): 5.6534 5.6534 5.4064 90.00 90.00 90.00
Closest atoms and distances in Å follow each position.
Sites, in units of the cell vectors:
Br 0.0000 0.5000 0.0000  2 Tl 2.83
Se 0.0000 0.0000 0.5000  2 Tl 2.70
Tl 0.0000 0.0000 0.0000  2 Se 2.70, 4 Br 2.83
Br 0.5000 0.0000 0.0000  2 Tl 2.83
Cu 0.5000 0.5000 0.5000  8 Br 3.91, 4 Se 4.00

--- Q ---
VASP calculation (PBE-GGA) on TlCuSeBr2 after structural relaxation.

Properties
space group: P4/mmm (123)

Lattice parameters (Å, degrees): 5.3264 5.3264 4.7911 90.00 90.00 90.00
Closest atoms and distances in Å follow each position.
Sites, in units of the cell vectors:
Tl 0.5000 0.5000 0.5000  8 Br 3.58, 4 Se 3.77
Cu 0.0000 0.0000 0.0000  2 Se 2.40, 4 Br 2.66
Se 0.0000 0.0000 0.5000  2 Cu 2.40
Br 0.5000 0.0000 0.0000  2 Cu 2.66
Br 0.0000 0.5000 0.0000  2 Cu 2.66

What are the relative energies? In meV per atom: P 648; Q 0.

--- P ---
VASP calculation (PBE-GGA) on CuWSeBr2 after structural relaxation.

Properties
space group: P4/mmm (123)

Lattice parameters (Å, degrees): 5.2789 5.2789 4.8324 90.00 90.00 90.00
Closest atoms and distances in Å follow each position.
Sites, in units of the cell vectors:
Se 0.0000 0.0000 0.5000  2 W 2.42
Br 0.5000 0.0000 0.0000  2 W 2.64
Br 0.0000 0.5000 0.0000  2 W 2.64
W 0.0000 0.0000 0.0000  2 Se 2.42, 4 Br 2.64
Cu 0.5000 0.5000 0.5000  8 Br 3.58, 4 Se 3.73

--- Q ---
VASP calculation (PBE-GGA) on CuWSeBr2 after structural relaxation.

Properties
space group: P4/mmm (123)

Lattice parameters (Å, degrees): 4.8162 4.8162 5.0427 90.00 90.00 90.00
Closest atoms and distances in Å follow each position.
Sites, in units of the cell vectors:
Br 0.5000 0.0000 0.0000  2 Cu 2.41
Br 0.0000 0.5000 0.0000  2 Cu 2.41
W 0.5000 0.5000 0.5000  4 Se 3.41, 8 Br 3.49
Se 0.0000 0.0000 0.5000  2 Cu 2.52
Cu 0.0000 0.0000 0.0000  4 Br 2.41, 2 Se 2.52

What are the relative energies? In meV per atom: P 0; Q 494.

--- P ---
VASP calculation (PBE-GGA) on YCuSeBr2 after structural relaxation.

Properties
space group: P4/mmm (123)

Lattice parameters (Å, degrees): 5.5053 5.5053 5.5819 90.00 90.00 90.00
Closest atoms and distances in Å follow each position.
Sites, in units of the cell vectors:
Br 0.5000 0.0000 0.0000  2 Y 2.75
Y 0.0000 0.0000 0.0000  4 Br 2.75, 2 Se 2.79
Br 0.0000 0.5000 0.0000  2 Y 2.75
Cu 0.5000 0.5000 0.5000  4 Se 3.89, 8 Br 3.92
Se 0.0000 0.0000 0.5000  2 Y 2.79

--- Q ---
VASP calculation (PBE-GGA) on YCuSeBr2 after structural relaxation.

Properties
space group: P4/mmm (123)

Lattice parameters (Å, degrees): 4.8533 4.8533 5.1649 90.00 90.00 90.00
Closest atoms and distances in Å follow each position.
Sites, in units of the cell vectors:
Br 0.0000 0.5000 0.0000  2 Cu 2.43
Y 0.5000 0.5000 0.5000  4 Se 3.43, 8 Br 3.54
Cu 0.0000 0.0000 0.0000  4 Br 2.43, 2 Se 2.58
Br 0.5000 0.0000 0.0000  2 Cu 2.43
Se 0.0000 0.0000 0.5000  2 Cu 2.58

What are the relative energies? In meV per atom: P 0; Q 68.

--- P ---
VASP calculation (PBE-GGA) on ZnCuSeBr2 after structural relaxation.

Properties
space group: P4/mmm (123)

Lattice parameters (Å, degrees): 5.1751 5.1751 4.9466 90.00 90.00 90.00
Closest atoms and distances in Å follow each position.
Sites, in units of the cell vectors:
Se 0.0000 0.0000 0.5000  2 Zn 2.47
Cu 0.5000 0.5000 0.5000  8 Br 3.58, 4 Se 3.66
Br 0.0000 0.5000 0.0000  2 Zn 2.59
Br 0.5000 0.0000 0.0000  2 Zn 2.59
Zn 0.0000 0.0000 0.0000  2 Se 2.47, 4 Br 2.59

--- Q ---
VASP calculation (PBE-GGA) on ZnCuSeBr2 after structural relaxation.

Properties
space group: P4/mmm (123)

Lattice parameters (Å, degrees): 4.8688 4.8688 5.1593 90.00 90.00 90.00
Closest atoms and distances in Å follow each position.
Sites, in units of the cell vectors:
Cu 0.0000 0.0000 0.0000  4 Br 2.43, 2 Se 2.58
Se 0.0000 0.0000 0.5000  2 Cu 2.58
Br 0.0000 0.5000 0.0000  2 Cu 2.43
Br 0.5000 0.0000 0.0000  2 Cu 2.43
Zn 0.5000 0.5000 0.5000  4 Se 3.44, 8 Br 3.55

What are the relative energies? In meV per atom: P 101; Q 0.